Computed, not measured: an optimized crystal structure of CeErNpO6 at the GGA-PBE level of DFT.

a = 5.7436 Å, b = 5.7436 Å, c = 9.6359 Å
α = 90.00°, β = 90.00°, γ = 120.00°
Last column: magnetic moment on the atom in μB.
Fractional positions:
Np  0.6667  0.3333  0.2500  1.69
Np  0.3333  0.6667  0.7500  1.69
Ce  0.0000  0.0000  0.5000  0.55
Ce  0.0000  0.0000  0.0000  0.55
O  0.9809  0.6446  0.3652  -0.05
O  0.6446  0.6637  0.6348  -0.05
O  0.0191  0.3554  0.6348  -0.05
O  0.6446  0.9809  0.8652  -0.05
O  0.3363  0.3554  0.8652  -0.05
O  0.9809  0.3363  0.1348  -0.05
O  0.3363  0.9809  0.6348  -0.05
O  0.3554  0.0191  0.1348  -0.05
O  0.6637  0.6446  0.1348  -0.05
O  0.0191  0.6637  0.8652  -0.05
O  0.3554  0.3363  0.3652  -0.05
O  0.6637  0.0191  0.3652  -0.05
Er  0.3333  0.6667  0.2500  0.00
Er  0.6667  0.3333  0.7500  0.00

## Properties
density of states at the Fermi level = 0.987 states/eV per atom
calculated total energy = -164.179 eV per cell
spin magnetization = 2.0 μB/f.u.